No. 1
Compound: Ho4HgRu
Source: Alexandria via LeMat-Bulk
Functional: PBE
Structure: optimized geometry

The raw total energy is -4.89 eV/atom. The distance to the lowest polymorph of the same formula is 147 meV/atom.

a = 7.5509 Å, b = 6.8790 Å, c = 6.6706 Å
α = 90.00°, β = 90.20°, γ = 90.00°
With the nearest neighbours (Å) after each atom.
Space group P2_1/c (No. 14)
Unique sites:
Ho (0.1381, 0.1506, 0.1625)  2 Ru 2.69-2.83
Ho (0.3017, 0.6467, 0.1342)  1 Ru 2.64
Hg (0.5000, 0.0000, 0.0000)  6 Ho 2.99-3.12
Ru (0.0000, 0.0000, 0.5000)  6 Ho 2.64-2.83


No. 2
Compound: BeReHg
Source: Alexandria via LeMat-Bulk
Functional: PBE
Structure: optimized geometry

The raw total energy is -4.90 eV/atom. The distance to the lowest polymorph of the same formula is 10 meV/atom.

a = 2.8355 Å, b = 2.8355 Å, c = 6.6239 Å
α = 90.00°, β = 90.00°, γ = 120.00°
With the nearest neighbours (Å) after each atom.
Space group P3m1 (No. 156)
Unique sites:
Be (0.0000, 0.0000, 0.0000)  3 Re 2.45
Re (0.3333, 0.6667, 0.7247)  3 Be 2.45
Hg (0.6667, 0.3333, 0.3358)  3 Be 2.76, 6 Hg 2.84, 3 Re 3.05


No. 3
Compound: Y2TaPb
Source: Alexandria via LeMat-Bulk
Functional: PBE
Structure: optimized geometry

The raw total energy is -6.89 eV/atom.

a = 4.5670 Å, b = 4.7463 Å, c = 9.7472 Å
α = 90.00°, β = 90.00°, γ = 90.00°
With the nearest neighbours (Å) after each atom.
Space group Cmm2 (No. 35)
Unique sites:
Y (0.0000, 0.0000, 0.0000)  4 Ta 3.20-3.26, 4 Y 3.29
Y (0.0000, 0.5000, 0.2998)  4 Y 3.29, 4 Pb 3.35-3.41
Ta (0.0000, 0.5000, 0.7703)  4 Pb 3.13-3.19, 4 Y 3.20-3.26, 4 Ta 3.29
Pb (0.0000, 0.0000, 0.5511)  4 Ta 3.13-3.19, 4 Pb 3.29, 4 Y 3.35-3.41


no.,magnetization (μB/cell),Fermi-level density of states (states/eV per cell),formation energy (eV/f.u.)
1,0.00,9.32,-1.424
2,0.00,2.27,1.777
3,0.00,6.83,0.938